First-principles (PBE) data for an optimized crystal structure of GeSe2F, as listed in Alexandria via LeMat-Bulk.

The structure in POSCAR format:
```
GeSe2F
1.0
-5.660 6.323 3.338
1.316 -3.263 8.413
-0.476 2.907 6.144
Ge Se F
2 4 2
direct
0.000 0.000 0.000
0.750 0.250 0.500
0.688 0.125 0.250
0.062 0.625 0.250
0.375 0.312 0.750
0.875 0.938 0.750
0.500 0.500 0.000
0.250 0.750 0.500
```

The calculated volume is 183 Å³/cell. The value obtained for the density is 4.53 g/cm3. The formation energy (no corrections) is -14.6 kcal/mol of atoms. The value obtained for the total moment is 0.0 μB per formula unit. The calculation puts the total DFT energy (no corrections) at -3.9975 eV per atom. For the energy above the most stable polymorph in this dataset, the calculation gives 0 meV/atom.